Record 1
VASP calculation (GGA-PBE) on a geometry-optimized Ac2ZnGa3Rh4 structure.

abc: 4.399 4.399 10.292
angles: 90.00 90.00 90.00
Atoms (fractional coordinates):
Ac (0.000, 0.500, 0.243)
Ac (0.500, 0.000, 0.757)
Zn (0.000, 0.000, 0.500)
Ga (0.000, 0.500, 0.880)
Ga (0.500, 0.000, 0.120)
Ga (0.500, 0.500, 0.500)
Rh (0.000, 0.000, 0.000)
Rh (0.000, 0.500, 0.631)
Rh (0.500, 0.000, 0.369)
Rh (0.500, 0.500, 0.000)

Values from the calculation:
- ΔH_f (0 K) (eV/atom) = -0.749
- total energy (eV per atom) = -5.547

Record 2
VASP calculation (GGA-PBE) on a geometry-optimized LaY2AgSe structure.

abc: 5.344 5.344 5.665
angles: 90.00 90.00 90.00
Atoms (fractional coordinates):
La (0.000, 0.000, 0.000)
Y (0.000, 0.500, 0.500)
Y (0.500, 0.000, 0.500)
Ag (0.500, 0.500, 0.000)
Se (0.000, 0.000, 0.500)

Values from the calculation:
- total energy (eV per atom) = -5.246
- formation energy from raw total energies (kcal/mol of atoms) = -9.4